Entry 1:
# PmPr15Nd4 | Alexandria via LeMat-Bulk | PBE-GGA | relaxed
# ΔE_f = 23 kJ/mol of formula units
# crystal system = tetragonal
# DFT total energy = -95.271 eV for the cell shown
# total magnetic moment = 0.00 μB/cell
data_PmPr15Nd4
_chemical_formula_sum 'Pm1 Pr15 Nd4'
_symmetry_space_group_name_H-M 'P 4/m m m'
_symmetry_Int_Tables_number 123
_symmetry_space_group_name_Hall '-P 4 2'
_cell_length_a 5.254
_cell_length_b 5.254
_cell_length_c 26.195
_cell_angle_alpha 90.00
_cell_angle_beta 90.00
_cell_angle_gamma 90.00
loop_
_atom_site_label
_atom_site_fract_x
_atom_site_fract_y
_atom_site_fract_z
_atom_site_occupancy
Pm1 0.000 0.000 0.000 1
Pr1 0.000 0.500 0.100 1
Pr2 0.000 0.500 0.300 1
Pr3 0.000 0.500 0.500 1
Pr4 0.500 0.500 0.000 1
Pr5 0.500 0.500 0.200 1
Pr6 0.500 0.500 0.400 1
Nd1 0.000 0.000 0.200 1
Nd2 0.000 0.000 0.400 1

Entry 2:
# Sc2ReBi | Alexandria via LeMat-Bulk | PBE-GGA | relaxed
# ΔE_f = 55 kJ/mol of formula units
# crystal system = trigonal
# DFT total energy = -85.273 eV for the cell shown
# total magnetic moment = 0.00 μB/cell
data_Sc2ReBi
_chemical_formula_sum 'Sc6 Re3 Bi3'
_symmetry_space_group_name_H-M 'R -3 m'
_symmetry_Int_Tables_number 166
_symmetry_space_group_name_Hall '-R 3 2"'
_cell_length_a 3.3127
_cell_length_b 3.3127
_cell_length_c 30.0710
_cell_angle_alpha 90.00
_cell_angle_beta 90.00
_cell_angle_gamma 120.00
loop_
_atom_site_label
_atom_site_fract_x
_atom_site_fract_y
_atom_site_fract_z
_atom_site_occupancy
Sc1 0.0000 0.0000 0.1026 1
Re1 0.0000 0.0000 0.5000 1
Bi1 0.0000 0.0000 0.0000 1